The following is a DFT calculation (PBE-GGA) of a relaxed CeZn5 crystal.

Energy of formation from the pure elements ... -0.2471 eV per atom
DFT total energy ... -2.2978 eV per atom

a = 5.3794 Å, b = 5.3794 Å, c = 4.2496 Å
α = 90.00°, β = 90.00°, γ = 120.00°
Closest atoms and distances in Å follow each position.
Space group P6/mmm (No. 191)
Symmetry-distinct sites (fractional):
Ce (0.0000, 0.0000, 0.0000) [1 per cell]  18 Zn 3.11-3.43
Zn (0.0000, 0.5000, 0.5000) [3 per cell]  8 Zn 2.63-2.69
Zn (0.3333, 0.6667, 0.0000) [2 per cell]  6 Zn 2.63